Entry 1:
Below is a geometry-optimized YZr2Cr structure, with properties calculated at the PBE level.

The calculation puts the formation energy at 410 meV per atom. The value obtained for the magnetization is 0.6662 μB per atom.

The space group is C2/m (No. 12) and the conventional cell measures 6.050, 10.690 and 3.179 Å, with angles of 90.00, 116.79 and 90.00 degrees. Symmetry generates all atoms from Y at (0.000, 0.000, 0.000), Zr at (0.250, 0.250, 0.500) and Cr at (0.000, 0.500, 0.000).

Entry 2:
Below is a geometry-optimized YZr2Cr structure, with properties calculated at the PBE level.

The calculation puts the formation energy at 348 meV per atom. The value obtained for the magnetization is 0.7679 μB per atom.

The space group is I-4m2 (No. 119) and the conventional cell measures 4.573, 4.573 and 8.799 Å, with angles of 90.00, 90.00 and 90.00 degrees. Symmetry generates all atoms from Y at (0.000, 0.000, 0.000), Zr at (0.000, 0.000, 0.500), Zr at (0.000, 0.500, 0.750) and Cr at (0.000, 0.500, 0.250).

Entry 3:
Below is a geometry-optimized YZrCr2 structure, with properties calculated at the PBE level.

The calculation puts the formation energy at 378 meV per atom. The value obtained for the magnetization is 1.1946 μB per atom.

The space group is P4/mmm (No. 123) and the conventional cell measures 4.793, 4.793 and 3.397 Å, with angles of 90.00, 90.00 and 90.00 degrees. Symmetry generates all atoms from Y at (0.000, 0.000, 0.000), Zr at (0.500, 0.500, 0.000) and Cr at (0.000, 0.500, 0.500).

Entry 4:
Below is a geometry-optimized YZrCr2 structure, with properties calculated at the PBE level.

The calculation puts the formation energy at 632 meV per atom. The value obtained for the magnetization is 1.4488 μB per atom.

The space group is R-3m (No. 166, hexagonal axes) and the conventional cell measures 3.2313, 3.2313 and 27.5526 Å, with angles of 90.00, 90.00 and 120.00 degrees. Symmetry generates all atoms from Y at (0.0000, 0.0000, 0.0000), Zr at (0.0000, 0.0000, 0.5000) and Cr at (0.0000, 0.0000, 0.2450).